This record from Alexandria describes an optimized crystal structure of Tb3Tm3ScTe8. The functional is GGA-PBE.

a b c (Å): 8.6209 8.6212 8.6316
angles (deg): 119.96 90.00 120.00
Atoms (fractional coordinates):
Tb1 0.0000 0.5000 0.0000
Tb2 0.0000 0.0000 0.0000
Te1 0.7513 0.5026 0.2553
Te2 0.7514 0.0040 0.2554
Tb3 0.5000 0.5000 0.0000
Te3 0.2487 0.4974 0.7447
Tm1 0.5000 0.0000 0.5000
Te4 0.2526 0.0040 0.2554
Sc1 0.0000 0.0000 0.5000
Te5 0.7474 0.9960 0.7446
Tm2 0.5000 0.5000 0.5000
Te6 0.7481 0.4962 0.7442
Tm3 0.0000 0.5000 0.5000
Te7 0.2519 0.5038 0.2558
Te8 0.2486 0.9960 0.7446

**Formation energy (no corrections)**: -1.31 eV per atom
**E**: -5.224 eV/atom

---

This record from Alexandria describes an optimized crystal structure of Tb2Tm3ScTe6. The functional is GGA-PBE.

a b c (Å): 4.2851 8.6470 9.6278
angles (deg): 102.80 102.86 90.00
Atoms (fractional coordinates):
Te1 0.3360 0.4139 0.6721
Te2 0.9966 0.2424 0.9933
Tm1 0.1733 0.8362 0.3466
Tm2 0.5000 0.5000 0.0000
Tm3 0.8267 0.1638 0.6534
Te3 0.0034 0.7576 0.0067
Sc1 0.5000 0.0000 0.0000
Te4 0.6609 0.0754 0.3218
Tb1 0.8314 0.6663 0.6627
Tb2 0.1686 0.3337 0.3373
Te5 0.3391 0.9246 0.6782
Te6 0.6640 0.5861 0.3279

**Formation energy (no corrections)**: -1.20 eV per atom
**E**: -5.191 eV/atom

---

This record from Alexandria describes an optimized crystal structure of Tb3Y2ScTe6. The functional is GGA-PBE.

a b c (Å): 4.3239 8.7039 9.6946
angles (deg): 102.78 102.89 90.00
Atoms (fractional coordinates):
Tb1 0.1724 0.8367 0.3448
Te1 0.3401 0.9198 0.6802
Y1 0.8324 0.6668 0.6649
Sc1 0.5000 0.0000 0.0000
Te2 0.3338 0.4172 0.6677
Tb2 0.5000 0.5000 0.0000
Te3 0.0019 0.7612 0.0039
Tb3 0.8276 0.1633 0.6552
Y2 0.1676 0.3332 0.3351
Te4 0.9981 0.2388 0.9961
Te5 0.6599 0.0802 0.3198
Te6 0.6662 0.5828 0.3323

**Formation energy (no corrections)**: -1.27 eV per atom
**E**: -5.605 eV/atom

---

This record from Alexandria describes an optimized crystal structure of TbY2ScTe6. The functional is GGA-PBE.

a b c (Å): 7.6044 7.6045 8.2172
angles (deg): 62.44 62.44 60.00
Atoms (fractional coordinates):
Te1 0.1017 0.4199 0.7598
Te2 0.9341 0.5867 0.2492
Te3 0.2300 0.9341 0.2492
Sc1 0.3263 0.3263 0.0212
Y1 0.0091 0.0091 0.9727
Tb1 0.8246 0.8245 0.5264
Y2 0.5107 0.5107 0.4679
Te4 0.7184 0.1018 0.7599
Te5 0.4200 0.7184 0.7599
Te6 0.5867 0.2300 0.2492

**Formation energy (no corrections)**: -1.33 eV per atom
**E**: -5.599 eV/atom

---

This record from Alexandria describes an optimized crystal structure of TbY3Sc2Te6. The functional is GGA-PBE.

a b c (Å): 4.2922 8.6295 9.6195
angles (deg): 102.88 102.89 90.00
Atoms (fractional coordinates):
Te1 0.3303 0.9060 0.6606
Sc1 0.8350 0.6692 0.6699
Sc2 0.1650 0.3308 0.3301
Tb1 0.5000 0.0000 0.0000
Y1 0.8391 0.1698 0.6782
Te2 0.6697 0.0940 0.3394
Te3 0.3290 0.4252 0.6580
Te4 0.6710 0.5748 0.3420
Y2 0.5000 0.5000 0.0000
Te5 0.9942 0.7464 0.9885
Te6 0.0058 0.2536 0.0115
Y3 0.1609 0.8302 0.3218

**Formation energy (no corrections)**: -1.24 eV per atom
**E**: -5.863 eV/atom

---

This record from Alexandria describes an optimized crystal structure of Tb2Y3ScTe6. The functional is GGA-PBE.

a b c (Å): 4.3234 8.6993 9.6924
angles (deg): 102.70 102.89 90.00
Atoms (fractional coordinates):
Te1 0.0021 0.7610 0.0042
Te2 0.6654 0.5838 0.3308
Tb1 0.8317 0.6658 0.6635
Sc1 0.5000 0.0000 0.0000
Y1 0.1729 0.8368 0.3459
Y2 0.5000 0.5000 0.0000
Tb2 0.1683 0.3342 0.3365
Te3 0.9979 0.2390 0.9958
Te4 0.3346 0.4162 0.6692
Te5 0.3402 0.9206 0.6804
Te6 0.6598 0.0794 0.3196
Y3 0.8271 0.1632 0.6541

**Formation energy (no corrections)**: -1.27 eV per atom
**E**: -5.758 eV/atom

---

This record from Alexandria describes an optimized crystal structure of Tb6Th2Sc. The functional is GGA-PBE.

a b c (Å): 3.5379 3.5379 32.3319
angles (deg): 90.00 90.00 120.00
Atoms (fractional coordinates):
Sc1 0.3333 0.6667 0.0000
Tb1 0.3333 0.6667 0.6476
Tb2 0.6667 0.3333 0.0827
Tb3 0.6667 0.3333 0.9173
Th1 0.6667 0.3333 0.2650
Tb4 0.3333 0.6667 0.1727
Tb5 0.3333 0.6667 0.3524
Th2 0.6667 0.3333 0.7350
Tb6 0.3333 0.6667 0.8273

**Energy relative to the elements**: 1.61 eV/f.u.
**E**: -5.260 eV/atom
**E above lowest polymorph**: 0.129 eV per atom

---

This record from Alexandria describes an optimized crystal structure of Tb12ThSc3. The functional is GGA-PBE.

a b c (Å): 4.9654 4.9654 19.7809
angles (deg): 90.00 90.00 90.00
Atoms (fractional coordinates):
Th1 0.0000 0.0000 0.0000
Tb1 0.5000 0.0000 0.8723
Tb2 0.5000 0.5000 0.0000
Sc1 0.0000 0.0000 0.5000
Tb3 0.5000 0.0000 0.3762
Tb4 0.0000 0.5000 0.6238
Tb5 0.5000 0.5000 0.5000
Tb6 0.0000 0.5000 0.3762
Tb7 0.5000 0.0000 0.1277
Sc2 0.0000 0.0000 0.7474
Tb8 0.0000 0.5000 0.1277
Sc3 0.0000 0.0000 0.2526
Tb9 0.0000 0.5000 0.8723
Tb10 0.5000 0.5000 0.2547
Tb11 0.5000 0.5000 0.7453
Tb12 0.5000 0.0000 0.6238

**Energy relative to the elements**: 0.69 eV/f.u.
**E**: -5.080 eV/atom

---

This record from Alexandria describes an optimized crystal structure of Tb5ThSc4. The functional is GGA-PBE.

a b c (Å): 3.4106 10.9890 11.5416
angles (deg): 136.74 98.50 89.98
Atoms (fractional coordinates):
Tb1 0.7919 0.7010 0.5841
Tb2 0.8094 0.1991 0.6186
Sc1 0.9213 0.6361 0.8421
Tb3 0.1906 0.8009 0.3814
Tb4 0.2081 0.2990 0.4159
Sc2 0.6035 0.9095 0.2071
Tb5 0.5000 0.5000 0.0000
Sc3 0.0787 0.3639 0.1579
Sc4 0.3965 0.0905 0.7929
Th1 0.5000 0.0000 0.0000

**Energy relative to the elements**: 0.46 eV/f.u.
**E**: -5.544 eV/atom
**E above lowest polymorph**: 0.000 eV per atom

---

This record from Alexandria describes an optimized crystal structure of Tb5Th2Sc2. The functional is GGA-PBE.

a b c (Å): 3.3852 8.8559 9.8466
angles (deg): 74.80 80.10 78.98
Atoms (fractional coordinates):
Tb1 0.6605 0.0147 0.6643
Sc1 0.4410 0.3579 0.7601
Tb2 0.0000 0.0000 0.0000
Tb3 0.3395 0.9853 0.3357
Sc2 0.5590 0.6421 0.2399
Tb4 0.2766 0.3441 0.1027
Th1 0.8930 0.6723 0.5416
Th2 0.1070 0.3277 0.4584
Tb5 0.7234 0.6559 0.8973

**Energy relative to the elements**: 1.22 eV/f.u.
**E**: -5.493 eV/atom
**E above lowest polymorph**: 0.000 eV per atom

---

This record from Alexandria describes an optimized crystal structure of Tb2ThSc2. The functional is GGA-PBE.

a b c (Å): 3.4792 3.4792 12.2282
angles (deg): 98.18 98.18 90.00
Atoms (fractional coordinates):
Sc1 0.5958 0.5958 0.1916
Tb1 0.1968 0.1968 0.3937
Tb2 0.8032 0.8032 0.6063
Th1 0.0000 0.0000 0.0000
Sc2 0.4042 0.4042 0.8084

**Energy relative to the elements**: 0.16 eV/f.u.
**E**: -5.836 eV/atom
**E above lowest polymorph**: 0.000 eV per atom

---

This record from Alexandria describes an optimized crystal structure of Tb2Th6Sc5. The functional is GGA-PBE.

a b c (Å): 3.4476 11.5039 19.4980
angles (deg): 90.00 90.00 90.00
Atoms (fractional coordinates):
Th1 0.5000 0.3064 0.1160
Th2 0.5000 0.6936 0.8840
Th3 0.0000 0.9297 0.6345
Sc1 0.5000 0.7031 0.5563
Sc2 0.5000 0.2969 0.4437
Th4 0.0000 0.5703 0.1345
Th5 0.0000 0.4297 0.8655
Sc3 0.5000 0.2031 0.9437
Th6 0.5000 0.1936 0.6160
Tb1 0.0000 0.3418 0.2803
Sc4 0.5000 0.4020 0.7246
Sc5 0.5000 0.5000 0.0000
Th7 0.0000 0.4414 0.5776
Sc6 0.5000 0.0000 0.5000
Sc7 0.5000 0.9020 0.7754
Tb2 0.0000 0.1582 0.7803
Th8 0.5000 0.8064 0.3840
Tb3 0.0000 0.8418 0.2197
Sc8 0.5000 0.0980 0.2246
Th9 0.0000 0.9414 0.9224
Th10 0.0000 0.0703 0.3655
Sc9 0.5000 0.7969 0.0563
Th11 0.0000 0.5586 0.4224
Th12 0.0000 0.0586 0.0776
Sc10 0.5000 0.5980 0.2754
Tb4 0.0000 0.6582 0.7197

**Energy relative to the elements**: 1.83 eV/f.u.
**E**: -6.431 eV/atom